[1]
This record from the Alexandria database describes a relaxed InIr2Cl crystal. The functional is PBE.

```
data_InIr2Cl
_cell_length_a 5.927
_cell_length_b 7.590
_cell_length_c 2.995
_cell_angle_alpha 90.00
_cell_angle_beta 90.00
_cell_angle_gamma 90.00
_symmetry_space_group_name_H-M 'C m m m'
_symmetry_Int_Tables_number 65
_symmetry_space_group_name_Hall '-C 2 2'
loop_
_atom_site_label
_atom_site_fract_x
_atom_site_fract_y
_atom_site_fract_z
In1 0.000 0.000 0.000
Ir1 0.250 0.250 0.500
Cl1 0.000 0.500 0.000
```

Calculated values
The calculation puts the density of states at the Fermi level at 7.42 states/eV per cell.

***

[2]
This record from the Alexandria database describes a relaxed Ac2LaSi crystal. The functional is PBE.

```
data_Ac2LaSi
_cell_length_a 5.0230
_cell_length_b 5.0230
_cell_length_c 19.3090
_cell_angle_alpha 90.00
_cell_angle_beta 90.00
_cell_angle_gamma 120.00
_symmetry_space_group_name_H-M 'R -3 m'
_symmetry_Int_Tables_number 166
_symmetry_space_group_name_Hall '-R 3 2"'
loop_
_atom_site_label
_atom_site_fract_x
_atom_site_fract_y
_atom_site_fract_z
Ac1 0.0000 0.0000 0.2307
La1 0.0000 0.0000 0.0000
Si1 0.0000 0.0000 0.5000
```

Calculated values
The calculation puts the density of states at the Fermi level at 14.15 states/eV per cell.

***

[3]
This record from the Alexandria database describes a relaxed AsIrClO crystal. The functional is PBE.

```
data_AsIrClO
_cell_length_a 3.307
_cell_length_b 4.424
_cell_length_c 6.853
_cell_angle_alpha 104.03
_cell_angle_beta 91.67
_cell_angle_gamma 111.74
_symmetry_space_group_name_H-M 'P 1'
_symmetry_Int_Tables_number 1
loop_
_symmetry_equiv_pos_as_xyz
'x,y,z'
loop_
_atom_site_label
_atom_site_fract_x
_atom_site_fract_y
_atom_site_fract_z
As1 0.000 0.000 0.000
Ir1 0.251 0.513 0.830
Cl1 0.674 0.388 0.581
O1 0.775 0.536 0.030
```

Calculated values
The calculation puts the density of states at the Fermi level at 2.15 states/eV per cell.

***

[4]
This record from the Alexandria database describes a relaxed TiBeAs2Br crystal. The functional is PBE.

```
data_TiBeAs2Br
_cell_length_a 4.927
_cell_length_b 4.927
_cell_length_c 5.049
_cell_angle_alpha 90.00
_cell_angle_beta 90.00
_cell_angle_gamma 90.00
_symmetry_space_group_name_H-M 'P 4/m m m'
_symmetry_Int_Tables_number 123
_symmetry_space_group_name_Hall '-P 4 2'
loop_
_atom_site_label
_atom_site_fract_x
_atom_site_fract_y
_atom_site_fract_z
Ti1 0.000 0.000 0.000
Be1 0.500 0.500 0.500
As1 0.000 0.500 0.000
Br1 0.000 0.000 0.500
```

Calculated values
The calculation puts the density of states at the Fermi level at 5.89 states/eV per cell.

***

Going through the records in order, we get energy relative to the elements, uncorrected values of 0.79; 0.10; -0.15; 0.48 eV/atom.